Record 1
Below is La2MgB after structural relaxation, with properties calculated at the PBE-GGA level.

Results
Space-group type: I-42d
E above lowest polymorph, eV per atom: 0.000

Geometry as CIF:
```
data_La2MgB
_symmetry_space_group_name_H-M 'P 1'
_symmetry_Int_Tables_number 1
_cell_length_a 8.125
_cell_length_b 8.125
_cell_length_c 6.689
_cell_angle_alpha 52.60
_cell_angle_beta 52.60
_cell_angle_gamma 90.00
loop_
_symmetry_equiv_pos_as_xyz
'x,y,z'
loop_
_atom_site_label
_atom_site_fract_x
_atom_site_fract_y
_atom_site_fract_z
_atom_site_occupancy
La1 0.875 0.794 0.750 1
B1 0.250 0.750 0.500 1
La2 0.375 0.456 0.750 1
La3 0.544 0.125 0.250 1
La4 0.206 0.625 0.250 1
Mg1 0.750 0.250 0.500 1
Mg2 0.000 0.000 0.000 1
B2 0.500 0.500 0.000 1
```

***

Record 2
Below is LaMgB after structural relaxation, with properties calculated at the PBE-GGA level.

Results
Space-group type: P-1
E above lowest polymorph, eV per atom: 0.250

Geometry as CIF:
```
data_LaMgB
_symmetry_space_group_name_H-M 'P 1'
_symmetry_Int_Tables_number 1
_cell_length_a 5.000
_cell_length_b 6.463
_cell_length_c 6.332
_cell_angle_alpha 105.12
_cell_angle_beta 44.13
_cell_angle_gamma 99.27
loop_
_symmetry_equiv_pos_as_xyz
'x,y,z'
loop_
_atom_site_label
_atom_site_fract_x
_atom_site_fract_y
_atom_site_fract_z
_atom_site_occupancy
Mg1 0.698 0.962 0.929 1
Mg2 0.209 0.655 0.851 1
La1 0.261 0.501 0.285 1
B1 0.956 0.322 0.018 1
La2 0.646 0.116 0.495 1
B2 0.950 0.295 0.762 1
```

***

Record 3
Below is LaMgB after structural relaxation, with properties calculated at the PBE-GGA level.

Results
Space-group type: P4/nmm
E above lowest polymorph, eV per atom: 0.483

Geometry as CIF:
```
data_LaMgB
_symmetry_space_group_name_H-M 'P 1'
_symmetry_Int_Tables_number 1
_cell_length_a 4.483
_cell_length_b 4.483
_cell_length_c 6.726
_cell_angle_alpha 90.00
_cell_angle_beta 90.00
_cell_angle_gamma 90.00
loop_
_symmetry_equiv_pos_as_xyz
'x,y,z'
loop_
_atom_site_label
_atom_site_fract_x
_atom_site_fract_y
_atom_site_fract_z
_atom_site_occupancy
La1 0.000 0.500 0.245 1
La2 0.500 0.000 0.755 1
Mg1 0.000 0.500 0.693 1
B1 0.500 0.500 0.500 1
Mg2 0.500 0.000 0.307 1
B2 0.000 0.000 0.500 1
```

***

Record 4
Below is LaMgB after structural relaxation, with properties calculated at the PBE-GGA level.

Results
Space-group type: Pmm2
E above lowest polymorph, eV per atom: 0.148

Geometry as CIF:
```
data_LaMgB
_symmetry_space_group_name_H-M 'P 1'
_symmetry_Int_Tables_number 1
_cell_length_a 7.771
_cell_length_b 5.433
_cell_length_c 3.225
_cell_angle_alpha 90.00
_cell_angle_beta 90.02
_cell_angle_gamma 90.00
loop_
_symmetry_equiv_pos_as_xyz
'x,y,z'
loop_
_atom_site_label
_atom_site_fract_x
_atom_site_fract_y
_atom_site_fract_z
_atom_site_occupancy
Mg1 0.297 0.507 0.100 1
B1 0.995 0.507 0.100 1
Mg2 0.498 0.007 0.100 1
B2 0.040 0.507 0.600 1
La1 0.065 0.007 0.599 1
La2 0.690 0.507 0.601 1
```

***

Record 5
Below is LaMgB after structural relaxation, with properties calculated at the PBE-GGA level.

Results
Space-group type: Cm
E above lowest polymorph, eV per atom: 0.077

Geometry as CIF:
```
data_LaMgB
_symmetry_space_group_name_H-M 'P 1'
_symmetry_Int_Tables_number 1
_cell_length_a 3.327
_cell_length_b 13.205
_cell_length_c 3.327
_cell_angle_alpha 89.98
_cell_angle_beta 120.00
_cell_angle_gamma 90.00
loop_
_symmetry_equiv_pos_as_xyz
'x,y,z'
loop_
_atom_site_label
_atom_site_fract_x
_atom_site_fract_y
_atom_site_fract_z
_atom_site_occupancy
B1 0.333 0.308 0.988 1
B2 0.666 0.309 0.654 1
La1 0.999 0.461 0.320 1
La2 0.999 0.156 0.321 1
Mg1 0.330 0.907 0.981 1
Mg2 0.662 0.710 0.647 1
```

***

Record 6
Below is LaMgB after structural relaxation, with properties calculated at the PBE-GGA level.

Results
Space-group type: Cm
E above lowest polymorph, eV per atom: 0.289

Geometry as CIF:
```
data_LaMgB
_symmetry_space_group_name_H-M 'P 1'
_symmetry_Int_Tables_number 1
_cell_length_a 6.526
_cell_length_b 6.445
_cell_length_c 3.814
_cell_angle_alpha 72.74
_cell_angle_beta 106.95
_cell_angle_gamma 76.83
loop_
_symmetry_equiv_pos_as_xyz
'x,y,z'
loop_
_atom_site_label
_atom_site_fract_x
_atom_site_fract_y
_atom_site_fract_z
_atom_site_occupancy
B1 0.911 0.435 0.628 1
La1 0.839 0.117 0.253 1
Mg1 0.334 0.834 0.142 1
B2 0.645 0.456 0.486 1
Mg2 0.723 0.682 0.911 1
La2 0.268 0.327 0.361 1
```

***

Record 7
Below is LaMg3B after structural relaxation, with properties calculated at the PBE-GGA level.

Results
Space-group type: Pm-3m
E above lowest polymorph, eV per atom: 0.000

Geometry as CIF:
```
data_LaMg3B
_symmetry_space_group_name_H-M 'P 1'
_symmetry_Int_Tables_number 1
_cell_length_a 4.807
_cell_length_b 4.807
_cell_length_c 4.807
_cell_angle_alpha 90.00
_cell_angle_beta 90.00
_cell_angle_gamma 90.00
loop_
_symmetry_equiv_pos_as_xyz
'x,y,z'
loop_
_atom_site_label
_atom_site_fract_x
_atom_site_fract_y
_atom_site_fract_z
_atom_site_occupancy
Mg1 0.000 0.500 0.000 1
Mg2 0.000 0.000 0.500 1
B1 0.000 0.000 0.000 1
La1 0.500 0.500 0.500 1
Mg3 0.500 0.000 0.000 1
```

***

Record 8
Below is LaMgB after structural relaxation, with properties calculated at the PBE-GGA level.

Results
Space-group type: Cm
E above lowest polymorph, eV per atom: 0.299

Geometry as CIF:
```
data_LaMgB
_symmetry_space_group_name_H-M 'P 1'
_symmetry_Int_Tables_number 1
_cell_length_a 6.694
_cell_length_b 6.798
_cell_length_c 3.770
_cell_angle_alpha 90.01
_cell_angle_beta 106.34
_cell_angle_gamma 121.60
loop_
_symmetry_equiv_pos_as_xyz
'x,y,z'
loop_
_atom_site_label
_atom_site_fract_x
_atom_site_fract_y
_atom_site_fract_z
_atom_site_occupancy
Mg1 0.285 0.640 0.383 1
B1 0.955 0.444 0.718 1
La1 0.826 0.094 0.154 1
B2 0.159 0.374 0.820 1
La2 0.613 0.431 0.048 1
Mg2 0.092 0.869 0.787 1
```

***

Size of the total moment list, top to bottom, in μB/f.u.: 0.0, 0.0, 0.0, 0.0, 0.0, 0.0, 0.9, 0.0